Li2PaNiN4: relaxed, PBE.

Cell: 5.536 4.924 4.924 Å, 74.69 55.79 55.79°
Sites, in units of the cell vectors:
Li: 0.500 0.750 0.250
Li: 0.500 0.250 0.750
Pa: 0.000 0.000 0.000
Ni: 0.000 0.500 0.500
N: 0.658 0.464 0.878
N: 0.342 0.122 0.536
N: 0.000 0.536 0.122
N: 0.000 0.878 0.464

Summary:
energy: -54.7 eV for the cell shown